Record 1
The following is a PBE with a Hubbard U calculation of an optimized crystal structure of MnAgMoF6, from Alexandria.

Geometry as extended XYZ:
```
18
Lattice="5.744 0.000 0.000 -2.872 4.974 0.000 0.000 0.000 10.107" Properties=species:S:1:pos:R:3 pbc="T T T"
Mn 0.000 3.316 2.527
Mn 2.872 1.658 7.580
Ag 0.000 0.000 0.000
Ag 0.000 0.000 5.053
Mo 0.000 3.316 7.580
Mo 2.872 1.658 2.527
F -1.012 1.815 6.494
F -1.806 3.190 8.666
F 1.012 1.815 8.666
F -0.794 4.943 6.494
F 2.078 0.031 1.441
F 1.066 1.784 3.613
F 1.806 3.190 6.494
F 0.794 4.943 8.666
F 3.666 0.031 3.613
F 1.860 3.159 1.441
F 4.678 1.784 1.441
F 3.884 3.159 3.613
```

VASP energy in eV per atom: -5.4299

***

Record 2
The following is a PBE with a Hubbard U calculation of an optimized crystal structure of MnAgNF2, from Alexandria.

Geometry as extended XYZ:
```
5
Lattice="4.336 0.000 0.000 0.000 4.336 0.000 0.000 0.000 4.069" Properties=species:S:1:pos:R:3 pbc="T T T"
Mn 0.000 0.000 0.000
Ag 2.168 2.168 2.035
N 2.168 2.168 0.000
F 0.000 2.168 2.035
F 2.168 0.000 2.035
```

Relative energy among the computed polymorphs in meV per atom: 686

***

Record 3
The following is a PBE with a Hubbard U calculation of an optimized crystal structure of MnAgNF2, from Alexandria.

Geometry as extended XYZ:
```
5
Lattice="4.136 0.000 0.000 0.000 4.136 0.000 0.000 0.000 3.858" Properties=species:S:1:pos:R:3 pbc="T T T"
Mn 0.000 0.000 0.000
Ag 2.068 2.068 1.929
N 0.000 0.000 1.929
F 0.000 2.068 0.000
F 2.068 0.000 0.000
```

Relative energy among the computed polymorphs in meV per atom: 0

***

Record 4
The following is a PBE with a Hubbard U calculation of an optimized crystal structure of Na2MnAgF6, from Alexandria.

Geometry as extended XYZ:
```
10
Lattice="0.000 4.272 4.272 4.272 0.000 4.272 4.272 4.272 0.000" Properties=species:S:1:pos:R:3 pbc="T T T"
Na 2.136 2.136 2.136
Na 6.408 6.408 6.408
Mn 0.000 0.000 0.000
Ag 4.272 4.272 4.272
F 4.272 4.272 1.997
F 4.272 1.997 4.272
F 6.547 4.272 4.272
F 1.997 4.272 4.272
F 4.272 6.547 4.272
F 4.272 4.272 6.547
```

Relative energy among the computed polymorphs in meV per atom: 123

***

Record 5
The following is a PBE with a Hubbard U calculation of an optimized crystal structure of NaMnAgF4, from Alexandria.

Geometry as extended XYZ:
```
7
Lattice="-2.094 2.094 6.092 2.094 -2.094 6.092 2.094 2.094 -6.092" Properties=species:S:1:pos:R:3 pbc="T T T"
Na 0.000 0.000 0.000
Mn 0.000 0.000 7.904
Ag 0.000 0.000 3.537
F 2.094 0.000 1.662
F 0.000 0.000 5.774
F 0.000 2.094 1.662
F 0.000 0.000 9.988
```

VASP energy in eV per atom: -4.8742

***

Record 6
The following is a PBE with a Hubbard U calculation of an optimized crystal structure of Na2MnAgF6, from Alexandria.

Geometry as extended XYZ:
```
20
Lattice="5.758 0.000 0.000 0.000 5.962 0.000 -5.623 0.000 8.217" Properties=species:S:1:pos:R:3 pbc="T T T"
Na -0.017 0.258 1.995
Na -2.828 2.723 6.103
Na 2.963 3.239 2.113
Na 0.152 5.704 6.222
Mn 2.879 0.000 0.000
Mn 0.068 2.981 4.108
Ag -2.811 0.000 4.108
Ag 0.000 2.981 0.000
F -3.464 0.523 6.282
F -0.652 2.457 2.173
F -1.589 3.844 4.503
F 1.223 5.098 0.395
F -0.675 1.336 4.745
F 2.137 1.645 0.637
F -2.001 4.316 7.579
F 0.810 4.626 3.471
F -1.087 0.863 7.822
F 1.724 2.117 3.714
F 0.788 3.504 6.043
F 3.599 5.438 1.935
```

Relative energy among the computed polymorphs in meV per atom: 0